Entry 1:
A plane-wave DFT calculation with PBE was carried out for a relaxed structure of PaBO4.

Structure (POSCAR):
```
PaBO4
1.0
-2.7298 2.7298 2.4174
2.7298 -2.7298 2.4174
2.7298 2.7298 -2.4174
Pa B O
1 1 4
Direct
0.0000 0.0000 0.0000
0.7500 0.2500 0.5000
0.0829 0.2628 0.5082
0.4253 0.9171 0.1799
0.7372 0.2454 0.8201
0.7546 0.5747 0.4918
```

Results
**Space-group type**: I-4 (82)
**E above lowest polymorph**: 0 meV/atom
**Formation energy without anion corrections**: -2.8050 eV per atom

Entry 2:
A plane-wave DFT calculation with PBE was carried out for a relaxed structure of PaB4O8.

Structure (POSCAR):
```
PaB4O8
1.0
4.4301 0.0000 0.0000
-2.2151 3.8366 0.0000
0.0000 0.0000 7.5316
Pa B O
1 4 8
Direct
0.0000 0.0000 0.0000
0.3333 0.6667 0.2249
0.3333 0.6667 0.7751
0.6667 0.3333 0.2249
0.6667 0.3333 0.7751
0.0000 0.3676 0.7355
0.0000 0.6324 0.2645
0.3333 0.6667 0.0000
0.3676 0.0000 0.7355
0.3676 0.3676 0.2645
0.6324 0.0000 0.2645
0.6324 0.6324 0.7355
0.6667 0.3333 0.0000
```

Results
**Space-group type**: P-31m (162)
**Formation energy without anion corrections**: -2.4508 eV per atom

Entry 3:
A plane-wave DFT calculation with PBE was carried out for a relaxed structure of PaBO6.

Structure (POSCAR):
```
PaBO6
1.0
2.7555 -3.5653 0.0000
2.7555 3.5653 0.0000
-0.3615 0.0000 3.7987
Pa B O
1 1 6
Direct
0.0000 0.0000 0.0000
0.5000 0.5000 0.5000
0.2315 0.2315 0.5411
0.2554 0.5997 0.1506
0.4003 0.7446 0.8494
0.5997 0.2554 0.1506
0.7446 0.4003 0.8494
0.7685 0.7685 0.4589
```

Results
**Space-group type**: C2/m (12)
**Formation energy without anion corrections**: -1.7773 eV per atom

Entry 4:
A plane-wave DFT calculation with PBE was carried out for a relaxed structure of Pa2BO.

Structure (POSCAR):
```
Pa2BO
1.0
1.7902 1.0336 7.2134
-1.7902 1.0336 7.2134
0.0000 -2.0671 7.2134
Pa B O
2 1 1
Direct
0.0973 0.0973 0.0973
0.9027 0.9027 0.9027
0.5000 0.5000 0.5000
0.0000 0.0000 0.0000
```

Results
**Space-group type**: R-3m (166)
**Formation energy without anion corrections**: -1.0517 eV per atom

Entry 5:
A plane-wave DFT calculation with PBE was carried out for a relaxed structure of Pa2BPbO8.

Structure (POSCAR):
```
Pa2BPbO8
1.0
4.8548 0.0000 0.0000
-2.4274 4.2044 0.0000
0.0000 0.0000 7.3950
Pa B Pb O
2 1 1 8
Direct
0.3333 0.6667 0.3535
0.6667 0.3333 0.6465
0.0000 0.0000 0.5000
0.0000 0.0000 0.0000
0.1622 0.3245 0.6344
0.1622 0.8378 0.6344
0.3245 0.1622 0.3656
0.3333 0.6667 0.0882
0.6667 0.3333 0.9118
0.6755 0.8378 0.6344
0.8378 0.1622 0.3656
0.8378 0.6755 0.3656
```

Results
**Space-group type**: P-3m1 (164)
**Formation energy without anion corrections**: -2.3054 eV per atom

Entry 6:
A plane-wave DFT calculation with PBE was carried out for a relaxed structure of PmPaB2O8.

Structure (POSCAR):
```
PmPaB2O8
1.0
-2.3572 2.3572 5.6523
2.3572 -2.3572 5.6523
2.3572 2.3572 -5.6523
Pm Pa B O
1 1 2 8
Direct
0.0000 0.0000 0.0000
0.2500 0.7500 0.5000
0.5000 0.5000 0.0000
0.7500 0.2500 0.5000
0.3255 0.6675 0.1408
0.3325 0.4733 0.6580
0.4395 0.0636 0.1340
0.5267 0.1847 0.8592
0.6944 0.5605 0.6241
0.8153 0.6745 0.3420
0.9296 0.3056 0.8660
0.9364 0.0704 0.3759
```

Results
**Space-group type**: I-4 (82)
**Formation energy without anion corrections**: -2.5665 eV per atom

Entry 7:
A plane-wave DFT calculation with PBE was carried out for a relaxed structure of PrPaB2O8.

Structure (POSCAR):
```
PrPaB2O8
1.0
-2.3659 2.3659 5.7099
2.3659 -2.3659 5.7099
2.3659 2.3659 -5.7099
Pr Pa B O
1 1 2 8
Direct
0.0000 0.0000 0.0000
0.2500 0.7500 0.5000
0.5000 0.5000 0.0000
0.7500 0.2500 0.5000
0.3314 0.6664 0.1467
0.3336 0.4803 0.6650
0.4411 0.0648 0.1333
0.5197 0.1847 0.8533
0.6922 0.5589 0.6237
0.8153 0.6686 0.3350
0.9316 0.3078 0.8667
0.9352 0.0684 0.3763
```

Results
**Space-group type**: I-4 (82)
**Formation energy without anion corrections**: -2.5451 eV per atom

Entry 8:
A plane-wave DFT calculation with PBE was carried out for a relaxed structure of PuPa2BO8.

Structure (POSCAR):
```
PuPa2BO8
1.0
4.9909 0.0000 0.0000
-2.4954 4.3222 0.0000
0.0000 0.0000 6.3961
Pu Pa B O
1 2 1 8
Direct
0.0000 0.0000 0.0000
0.3333 0.6667 0.3584
0.6667 0.3333 0.6416
0.0000 0.0000 0.5000
0.1580 0.3161 0.6579
0.1580 0.8420 0.6579
0.3161 0.1580 0.3421
0.3333 0.6667 0.0546
0.6667 0.3333 0.9454
0.6839 0.8420 0.6579
0.8420 0.1580 0.3421
0.8420 0.6839 0.3421
```

Results
**Space-group type**: P-3m1 (164)
**Formation energy without anion corrections**: -2.6973 eV per atom

Entry 9:
A plane-wave DFT calculation with PBE was carried out for a relaxed structure of Rb2PaB2O6.

Structure (POSCAR):
```
Rb2PaB2O6
1.0
2.7957 1.6141 6.4789
-2.7957 1.6141 6.4789
0.0000 -3.2282 6.4789
Rb Pa B O
2 1 2 6
Direct
0.2101 0.2101 0.2101
0.7899 0.7899 0.7899
0.0000 0.0000 0.0000
0.4026 0.4026 0.4026
0.5974 0.5974 0.5974
0.2593 0.2593 0.6900
0.2593 0.6900 0.2593
0.3100 0.7407 0.7407
0.6900 0.2593 0.2593
0.7407 0.3100 0.7407
0.7407 0.7407 0.3100
```

Results
**Space-group type**: R-3m (166)
**Formation energy without anion corrections**: -2.5987 eV per atom

Entry 10:
A plane-wave DFT calculation with PBE was carried out for a relaxed structure of RbPaB2O6.

Structure (POSCAR):
```
RbPaB2O6
1.0
4.5213 -5.0030 0.0000
4.5213 5.0030 0.0000
-2.2501 0.0000 7.0230
Rb Pa B O
2 2 4 12
Direct
0.1061 0.8939 0.7500
0.8939 0.1061 0.2500
0.3253 0.6747 0.2500
0.6747 0.3253 0.7500
0.1921 0.3992 0.8020
0.3992 0.1921 0.3020
0.6008 0.8079 0.6980
0.8079 0.6008 0.1980
0.0080 0.6852 0.2886
0.2316 0.5792 0.9424
0.3018 0.3509 0.2534
0.3148 0.9920 0.2114
0.3509 0.3018 0.7534
0.4208 0.7684 0.5576
0.5792 0.2316 0.4424
0.6491 0.6982 0.2466
0.6852 0.0080 0.7886
0.6982 0.6491 0.7466
0.7684 0.4208 0.0576
0.9920 0.3148 0.7114
```

Results
**Space-group type**: C2/c (15)
**Formation energy without anion corrections**: -2.8059 eV per atom

Entry 11:
A plane-wave DFT calculation with PBE was carried out for a relaxed structure of PaB2RhO8.

Structure (POSCAR):
```
PaB2RhO8
1.0
4.8601 0.0000 0.0000
-2.4301 4.2090 0.0000
0.0000 0.0000 6.4406
Pa B Rh O
1 2 1 8
Direct
0.0000 0.0000 0.0000
0.3333 0.6667 0.2197
0.6667 0.3333 0.7803
0.0000 0.0000 0.5000
0.1681 0.3362 0.2868
0.1681 0.8319 0.2868
0.3333 0.6667 0.9961
0.3362 0.1681 0.7132
0.6638 0.8319 0.2868
0.6667 0.3333 0.0039
0.8319 0.1681 0.7132
0.8319 0.6638 0.7132
```

Results
**Space-group type**: P-3m1 (164)
**Formation energy without anion corrections**: -1.9324 eV per atom

Entry 12:
A plane-wave DFT calculation with PBE was carried out for a relaxed structure of PaB2RuO8.

Structure (POSCAR):
```
PaB2RuO8
1.0
4.8564 0.0000 0.0000
-2.4282 4.2058 0.0000
0.0000 0.0000 6.4090
Pa B Ru O
1 2 1 8
Direct
0.0000 0.0000 0.0000
0.3333 0.6667 0.2178
0.6667 0.3333 0.7822
0.0000 0.0000 0.5000
0.1687 0.3373 0.2920
0.1687 0.8313 0.2920
0.3333 0.6667 0.9951
0.3373 0.1687 0.7080
0.6627 0.8313 0.2920
0.6667 0.3333 0.0049
0.8313 0.1687 0.7080
0.8313 0.6627 0.7080
```

Results
**Space-group type**: P-3m1 (164)
**Formation energy without anion corrections**: -2.0270 eV per atom